No. 1
Compound: MoBr
Source: Alexandria via LeMat-Bulk
Functional: PBEsol
Structure: optimized geometry

POSCAR file:
```
MoBr
1.0
13.708 0.000 0.000
0.000 3.143 0.000
-2.018 0.000 6.287
Mo Br
6 6
Cartesian
0.000 0.000 0.000 Mo
-1.060 1.571 4.278 Mo
3.401 0.000 5.176 Mo
6.854 1.571 0.000 Mo
5.794 0.000 4.278 Mo
10.255 1.571 5.176 Mo
0.526 1.571 2.131 Br
0.670 0.000 5.429 Br
4.140 1.571 2.969 Br
7.380 0.000 2.131 Br
7.525 1.571 5.429 Br
10.994 0.000 2.969 Br
```

Output
distance to the lowest polymorph of the same formula = 0.000 eV/atom
uncorrected formation energy = 97 meV/atom
magnetic moment = 0.000 μB/f.u.
total energy = -6.72 eV per atom
theoretical density = 6.47 g cm⁻³

No. 2
Compound: SnPbS2
Source: Alexandria via LeMat-Bulk
Functional: PBEsol
Structure: optimized geometry

POSCAR file:
```
SnPbS2
1.0
4.108 0.000 0.000
-2.054 3.558 0.000
0.000 0.000 20.132
Sn Pb S
3 3 6
Cartesian
0.000 0.000 0.000 Sn
0.000 2.372 13.421 Sn
2.054 1.186 6.711 Sn
0.000 0.000 10.066 Pb
0.000 2.372 3.355 Pb
2.054 1.186 16.777 Pb
0.000 0.000 5.093 S
0.000 0.000 15.039 S
0.000 2.372 8.329 S
0.000 2.372 18.514 S
2.054 1.186 1.618 S
2.054 1.186 11.803 S
```

Output
distance to the lowest polymorph of the same formula = 0.016 eV/atom
uncorrected formation energy = -481 meV/atom
magnetic moment = 0.000 μB/f.u.
total energy = -4.74 eV per atom
theoretical density = 6.60 g cm⁻³

No. 3
Compound: ZrTa4Ni
Source: Alexandria via LeMat-Bulk
Functional: PBEsol
Structure: optimized geometry

POSCAR file:
```
ZrTa4Ni
1.0
0.000 3.813 3.813
3.813 0.000 3.813
3.813 3.813 0.000
Zr Ta Ni
1 4 1
Cartesian
0.000 0.000 0.000 Zr
4.774 2.851 2.851 Ta
2.851 4.774 2.851 Ta
2.851 2.851 4.774 Ta
4.774 4.774 4.774 Ta
1.906 1.906 1.906 Ni
```

Output
magnetic moment = 0.002 μB/f.u.
total energy = -10.50 eV per atom
calculated formation energy = 405 meV/atom
theoretical density = 13.09 g cm⁻³

No. 4
Compound: Al2PtBr
Source: Alexandria via LeMat-Bulk
Functional: PBEsol
Structure: optimized geometry

POSCAR file:
```
Al2PtBr
1.0
3.674 0.000 0.000
0.000 3.674 0.000
0.000 0.000 11.463
Al Pt Br
4 2 2
Cartesian
0.000 0.000 0.000 Al
0.000 1.837 2.866 Al
1.837 0.000 8.597 Al
1.837 1.837 5.732 Al
0.000 1.837 8.597 Pt
1.837 0.000 2.866 Pt
0.000 0.000 5.732 Br
1.837 1.837 0.000 Br
```

Output
uncorrected formation energy = 78 meV/atom
magnetic moment = 0.000 μB/f.u.
total energy = -4.18 eV per atom
theoretical density = 7.06 g cm⁻³

No. 5
Compound: Zr2IrPb
Source: Alexandria via LeMat-Bulk
Functional: PBEsol
Structure: optimized geometry

POSCAR file:
```
Zr2IrPb
1.0
4.314 0.000 0.000
0.000 4.314 0.000
0.000 0.000 4.166
Zr Ir Pb
2 1 1
Cartesian
0.000 2.157 0.000 Zr
2.157 0.000 0.000 Zr
0.000 0.000 2.083 Ir
2.157 2.157 2.083 Pb
```

Output
magnetic moment = 0.000 μB/f.u.
total energy = -8.34 eV per atom
calculated formation energy = -335 meV/atom
theoretical density = 12.46 g cm⁻³

No. 6
Compound: Mo2P
Source: Alexandria via LeMat-Bulk
Functional: PBEsol
Structure: optimized geometry

POSCAR file:
```
Mo2P
1.0
4.369 0.000 0.000
-2.184 3.784 0.000
0.000 0.000 5.034
Mo P
4 2
Cartesian
0.000 0.000 0.000 Mo
0.000 0.000 2.517 Mo
0.000 2.522 1.258 Mo
2.184 1.261 3.775 Mo
0.000 2.522 3.775 P
2.184 1.261 1.258 P
```

Output
distance to the lowest polymorph of the same formula = 0.170 eV/atom
magnetic moment = 0.000 μB/f.u.
total energy = -9.82 eV per atom
calculated formation energy = -42 meV/atom
theoretical density = 8.89 g cm⁻³

No. 7
Compound: ScCdN2F
Source: Alexandria via LeMat-Bulk
Functional: PBEsol
Structure: optimized geometry

POSCAR file:
```
ScCdN2F
1.0
4.143 0.000 0.000
0.000 4.143 0.000
0.000 0.000 3.966
Sc Cd N F
1 1 2 1
Cartesian
0.000 0.000 0.000 Sc
2.071 2.071 1.983 Cd
0.000 2.071 0.000 N
2.071 0.000 0.000 N
0.000 0.000 1.983 F
```

Output
uncorrected formation energy = -471 meV/atom
magnetic moment = 0.571 μB/f.u.
total energy = -5.83 eV per atom
theoretical density = 4.99 g cm⁻³

No. 8
Compound: K2InBr
Source: Alexandria via LeMat-Bulk
Functional: PBEsol
Structure: optimized geometry

POSCAR file:
```
K2InBr
1.0
8.387 0.000 0.000
0.000 8.387 0.000
0.000 0.000 8.387
K In Br
8 4 4
Cartesian
2.097 2.097 2.097 K
2.097 2.097 6.290 K
2.097 6.290 2.097 K
2.097 6.290 6.290 K
6.290 2.097 2.097 K
6.290 2.097 6.290 K
6.290 6.290 2.097 K
6.290 6.290 6.290 K
0.000 0.000 0.000 In
0.000 4.193 4.193 In
4.193 0.000 4.193 In
4.193 4.193 0.000 In
0.000 0.000 4.193 Br
0.000 4.193 0.000 Br
4.193 0.000 0.000 Br
4.193 4.193 4.193 Br
```

Output
distance to the lowest polymorph of the same formula = 0.165 eV/atom
uncorrected formation energy = -422 meV/atom
magnetic moment = 0.366 μB/f.u.
total energy = -2.20 eV per atom
theoretical density = 3.07 g cm⁻³

No. 9
Compound: Cd2InPb
Source: Alexandria via LeMat-Bulk
Functional: PBEsol
Structure: optimized geometry

POSCAR file:
```
Cd2InPb
1.0
7.351 0.000 0.000
0.000 7.351 0.000
0.000 0.000 7.351
Cd In Pb
8 4 4
Cartesian
1.838 1.838 1.838 Cd
1.838 1.838 5.513 Cd
1.838 5.513 1.838 Cd
1.838 5.513 5.513 Cd
5.513 1.838 1.838 Cd
5.513 1.838 5.513 Cd
5.513 5.513 1.838 Cd
5.513 5.513 5.513 Cd
0.000 0.000 0.000 In
0.000 3.676 3.676 In
3.676 0.000 3.676 In
3.676 3.676 0.000 In
0.000 0.000 3.676 Pb
0.000 3.676 0.000 Pb
3.676 0.000 0.000 Pb
3.676 3.676 3.676 Pb
```

Output
distance to the lowest polymorph of the same formula = 0.040 eV/atom
magnetic moment = 0.000 μB/f.u.
total energy = -2.27 eV per atom
calculated formation energy = 78 meV/atom
theoretical density = 9.14 g cm⁻³

No. 10
Compound: Li5FeO3F
Source: Alexandria via LeMat-Bulk
Functional: PBEsol
Structure: optimized geometry

POSCAR file:
```
Li5FeO3F
1.0
4.569 -4.499 0.000
4.569 4.499 0.000
-1.035 0.000 4.569
Li Fe O F
10 2 6 2
Cartesian
2.736 2.700 2.856 Li
3.258 1.853 0.532 Li
5.366 2.700 1.713 Li
2.635 0.000 2.787 Li
4.845 1.853 4.037 Li
3.258 -1.853 0.532 Li
5.467 0.000 1.782 Li
2.736 -2.700 2.856 Li
4.845 -1.853 4.037 Li
5.366 -2.700 1.713 Li
0.210 0.000 4.022 Fe
7.892 0.000 0.547 Fe
1.453 1.306 3.439 O
4.569 3.183 0.000 O
1.453 -1.306 3.439 O
6.649 1.306 1.129 O
4.569 -3.183 0.000 O
6.649 -1.306 1.129 O
4.051 1.323 2.284 F
4.051 -1.323 2.284 F
```

Output
distance to the lowest polymorph of the same formula = 0.000 eV/atom
uncorrected formation energy = -1874 meV/atom
magnetic moment = 2.000 μB/f.u.
total energy = -5.52 eV per atom
theoretical density = 2.79 g cm⁻³

No. 11
Compound: Li2ScCrTe
Source: Alexandria via LeMat-Bulk
Functional: PBEsol
Structure: optimized geometry

POSCAR file:
```
Li2ScCrTe
1.0
4.581 0.000 0.000
0.000 4.581 0.000
0.000 0.000 4.897
Li Sc Cr Te
2 1 1 1
Cartesian
0.000 2.290 0.000 Li
2.290 0.000 0.000 Li
0.000 0.000 2.449 Sc
2.290 2.290 0.000 Cr
2.290 2.290 2.449 Te
```

Output
uncorrected formation energy = 403 meV/atom
magnetic moment = 2.558 μB/f.u.
total energy = -4.46 eV per atom
theoretical density = 3.85 g cm⁻³

No. 12
Compound: LiEr2Ga
Source: Alexandria via LeMat-Bulk
Functional: PBEsol
Structure: optimized geometry

POSCAR file:
```
LiEr2Ga
1.0
7.028 0.000 0.000
0.000 7.028 0.000
0.000 0.000 7.028
Li Er Ga
4 8 4
Cartesian
0.000 0.000 0.000 Li
0.000 3.514 3.514 Li
3.514 0.000 3.514 Li
3.514 3.514 0.000 Li
1.757 1.757 1.757 Er
1.757 1.757 5.271 Er
1.757 5.271 1.757 Er
1.757 5.271 5.271 Er
5.271 1.757 1.757 Er
5.271 1.757 5.271 Er
5.271 5.271 1.757 Er
5.271 5.271 5.271 Er
0.000 0.000 3.514 Ga
0.000 3.514 0.000 Ga
3.514 0.000 0.000 Ga
3.514 3.514 3.514 Ga
```

Output
magnetic moment = 0.000 μB/f.u.
total energy = -4.11 eV per atom
calculated formation energy = -320 meV/atom
theoretical density = 7.87 g cm⁻³

No. 13
Compound: MgSi2Ir
Source: Alexandria via LeMat-Bulk
Functional: PBEsol
Structure: optimized geometry

POSCAR file:
```
MgSi2Ir
1.0
2.778 0.000 0.000
0.000 4.564 0.000
0.000 0.000 9.983
Mg Si Ir
2 4 2
Cartesian
0.000 0.000 0.000 Mg
1.389 2.282 4.992 Mg
0.000 2.282 2.044 Si
0.000 2.282 7.939 Si
1.389 0.000 2.948 Si
1.389 0.000 7.036 Si
0.000 0.000 4.992 Ir
1.389 2.282 0.000 Ir
```

Output
uncorrected formation energy = -149 meV/atom
magnetic moment = 0.000 μB/f.u.
total energy = -5.91 eV per atom
theoretical density = 7.16 g cm⁻³

No. 14
Compound: CdPdOF2
Source: Alexandria via LeMat-Bulk
Functional: PBEsol
Structure: optimized geometry

POSCAR file:
```
CdPdOF2
1.0
4.109 0.000 0.000
0.000 4.109 0.000
0.000 0.000 4.017
Cd Pd O F
1 1 1 2
Cartesian
0.000 0.000 0.000 Cd
2.054 2.054 2.008 Pd
2.054 2.054 0.000 O
0.000 2.054 2.008 F
2.054 0.000 2.008 F
```

Output
uncorrected formation energy = -806 meV/atom
magnetic moment = 0.000 μB/f.u.
total energy = -4.06 eV per atom
theoretical density = 6.68 g cm⁻³

No. 15
Compound: CuRh2Cl
Source: Alexandria via LeMat-Bulk
Functional: PBEsol
Structure: optimized geometry

POSCAR file:
```
CuRh2Cl
1.0
2.738 0.000 0.000
0.000 4.273 0.000
0.000 0.000 4.743
Cu Rh Cl
1 2 1
Cartesian
0.000 0.000 0.000 Cu
0.000 2.137 2.372 Rh
1.369 2.137 0.000 Rh
1.369 0.000 2.372 Cl
```

Output
distance to the lowest polymorph of the same formula = 0.134 eV/atom
uncorrected formation energy = 485 meV/atom
magnetic moment = 0.000 μB/f.u.
total energy = -5.17 eV per atom
theoretical density = 9.12 g cm⁻³

No. 16
Compound: Tl2FeTc
Source: Alexandria via LeMat-Bulk
Functional: PBEsol
Structure: optimized geometry

POSCAR file:
```
Tl2FeTc
1.0
3.194 0.000 0.000
0.000 5.016 0.000
0.000 0.000 8.903
Tl Fe Tc
4 2 2
Cartesian
0.000 0.000 2.172 Tl
0.000 0.000 6.731 Tl
1.597 2.508 2.172 Tl
1.597 2.508 6.731 Tl
0.000 2.508 0.000 Fe
1.597 0.000 0.000 Fe
0.000 2.508 4.451 Tc
1.597 0.000 4.451 Tc
```

Output
distance to the lowest polymorph of the same formula = 0.395 eV/atom
magnetic moment = 3.002 μB/f.u.
total energy = -5.55 eV per atom
calculated formation energy = 825 meV/atom
theoretical density = 13.10 g cm⁻³

No. 17
Compound: P2O2F3
Source: Alexandria via LeMat-Bulk
Functional: PBEsol
Structure: optimized geometry

POSCAR file:
```
P2O2F3
1.0
12.866 0.000 0.000
-6.433 11.142 0.000
0.000 0.000 9.160
P O F
24 24 36
Cartesian
0.000 0.000 0.000 P
0.000 0.000 4.580 P
-0.666 2.343 6.350 P
-4.737 9.395 1.770 P
-2.084 6.200 4.210 P
-2.106 6.237 8.791 P
0.666 2.343 1.770 P
-4.071 10.547 6.350 P
0.000 7.428 1.405 P
0.000 7.428 5.985 P
2.084 6.200 8.791 P
-0.022 9.848 4.210 P
2.106 6.237 4.210 P
0.022 9.848 8.791 P
4.443 2.313 8.224 P
4.225 2.691 3.644 P
6.433 3.714 0.863 P
6.433 3.714 5.444 P
8.423 2.313 3.644 P
6.215 6.138 8.224 P
4.737 9.395 6.350 P
4.071 10.547 1.770 P
8.641 2.691 8.224 P
6.651 6.138 3.644 P
0.000 0.000 3.098 O
0.000 0.000 7.678 O
-0.090 1.458 0.575 O
-5.216 10.335 5.156 O
0.090 1.458 5.156 O
-5.125 10.492 0.575 O
-0.944 6.312 0.827 O
-1.438 7.169 5.407 O
0.000 7.428 2.886 O
0.000 7.428 7.466 O
0.944 6.312 5.407 O
-0.495 8.803 0.827 O
1.438 7.169 0.827 O
0.495 8.803 5.407 O
5.349 2.732 4.874 O
5.041 3.266 0.293 O
6.433 3.714 2.345 O
6.433 3.714 6.925 O
7.517 2.732 0.293 O
6.125 5.144 4.874 O
7.825 3.266 4.874 O
6.741 5.144 0.293 O
5.216 10.335 0.575 O
5.125 10.492 5.156 O
-0.667 2.826 2.478 F
-4.319 9.152 7.058 F
-0.856 3.641 5.438 F
-3.708 8.581 0.858 F
-1.501 4.956 8.054 F
-2.892 7.364 3.474 F
0.667 2.826 7.058 F
-3.652 10.307 2.478 F
0.856 3.641 0.858 F
-2.852 10.063 5.438 F
3.249 1.730 9.118 F
3.122 1.949 4.538 F
1.501 4.956 3.474 F
-1.391 9.965 8.054 F
4.783 1.377 2.944 F
3.583 3.454 7.524 F
6.256 0.008 0.540 F
3.135 5.414 5.120 F
6.610 0.008 5.120 F
3.312 5.720 0.540 F
2.892 7.364 8.054 F
1.391 9.965 3.474 F
3.708 8.581 5.438 F
2.852 10.063 0.858 F
8.084 1.377 7.524 F
5.234 6.312 2.944 F
4.319 9.152 2.478 F
3.652 10.307 7.058 F
9.617 1.730 4.538 F
6.307 7.464 9.118 F
9.744 1.949 9.118 F
6.559 7.464 4.538 F
9.283 3.454 2.944 F
7.632 6.312 7.524 F
9.731 5.414 0.540 F
9.554 5.720 5.120 F
```

Output
uncorrected formation energy = -2133 meV/atom
magnetic moment = 0.000 μB/f.u.
total energy = -6.11 eV per atom
theoretical density = 2.29 g cm⁻³

No. 18
Compound: Al2TlPtSe
Source: Alexandria via LeMat-Bulk
Functional: PBEsol
Structure: optimized geometry

POSCAR file:
```
Al2TlPtSe
1.0
4.756 0.000 0.000
0.000 4.756 0.000
0.000 0.000 5.225
Al Tl Pt Se
2 1 1 1
Cartesian
0.000 2.378 0.000 Al
2.378 0.000 0.000 Al
0.000 0.000 2.613 Tl
0.000 0.000 0.000 Pt
2.378 2.378 2.613 Se
```

Output
uncorrected formation energy = -180 meV/atom
magnetic moment = 0.000 μB/f.u.
total energy = -4.51 eV per atom
theoretical density = 7.48 g cm⁻³

No. 19
Compound: KCd3Ir
Source: Alexandria via LeMat-Bulk
Functional: PBEsol
Structure: optimized geometry

POSCAR file:
```
KCd3Ir
1.0
5.188 0.000 0.000
0.000 5.188 0.000
0.000 0.000 5.188
K Cd Ir
1 3 1
Cartesian
0.000 0.000 0.000 K
0.000 2.594 2.594 Cd
2.594 0.000 2.594 Cd
2.594 2.594 0.000 Cd
2.594 2.594 2.594 Ir
```

Output
magnetic moment = 0.000 μB/f.u.
total energy = -2.84 eV per atom
calculated formation energy = 71 meV/atom
theoretical density = 6.76 g cm⁻³

No. 20
Compound: MgV2O6
Source: Alexandria via LeMat-Bulk
Functional: PBEsol
Structure: optimized geometry

POSCAR file:
```
MgV2O6
1.0
5.127 0.000 0.000
0.000 2.716 4.814
0.000 -2.716 4.814
Mg V O
1 2 6
Cartesian
0.000 0.000 0.000 Mg
0.000 0.000 3.613 V
2.564 0.000 4.784 V
0.000 0.000 1.971 O
1.246 -1.211 4.227 O
1.246 1.211 4.227 O
2.564 0.000 6.368 O
3.881 -1.211 4.227 O
3.881 1.211 4.227 O
```

Output
distance to the lowest polymorph of the same formula = 0.000 eV/atom
uncorrected formation energy = -2390 meV/atom
magnetic moment = 0.000 μB/f.u.
total energy = -8.22 eV per atom
theoretical density = 2.75 g cm⁻³